Entry from the Alexandria database: crystalline InCu2Mo at its relaxed geometry (PBE-GGA).

Cell: 3.850 3.850 18.583 Å, 90.00 90.00 90.00°
Space group I-42d (No. 122)
Inequivalent atoms, fractional coordinates:
In (0.000, 0.000, 0.000) x4
Cu (0.229, 0.250, 0.625) x8
Mo (0.000, 0.000, 0.500) x4

---

Entry from the Alexandria database: crystalline In2CuMo at its relaxed geometry (PBE-GGA).

Cell: 10.662 2.981 4.955 Å, 90.00 111.71 90.00°
Space group Cm (No. 8)
Inequivalent atoms, fractional coordinates:
In (0.000, 0.000, 0.000) x2
In (0.222, 0.000, 0.603) x2
Cu (0.462, 0.000, 0.479) x2
Mo (0.252, 0.500, 0.115) x2

energy above the lowest structure with this stoichiometry	0.0000	eV per atom

---

Entry from the Alexandria database: crystalline In2CuMo at its relaxed geometry (PBE-GGA).

Cell: 2.943 2.943 8.275 Å, 90.00 90.00 90.00°
Space group P4/mmm (No. 123)
Inequivalent atoms, fractional coordinates:
In (0.000, 0.000, 0.240) x2
Cu (0.500, 0.500, 0.000) x1
Mo (0.500, 0.500, 0.500) x1

energy above the lowest structure with this stoichiometry	0.0944	eV per atom

---

Entry from the Alexandria database: crystalline In2CuMo at its relaxed geometry (PBE-GGA).

Cell: 6.015 8.031 2.977 Å, 90.00 90.00 90.00°
Space group Cmmm (No. 65)
Inequivalent atoms, fractional coordinates:
In (0.250, 0.250, 0.000) x4
Cu (0.000, 0.000, 0.500) x2
Mo (0.000, 0.500, 0.500) x2

energy above the lowest structure with this stoichiometry	0.0027	eV per atom

---

Entry from the Alexandria database: crystalline In2CuMo at its relaxed geometry (PBE-GGA).

Cell: 4.409 4.409 3.650 Å, 90.00 90.00 90.00°
Space group P4/mmm (No. 123)
Inequivalent atoms, fractional coordinates:
In (0.000, 0.500, 0.000) x2
Cu (0.000, 0.000, 0.500) x1
Mo (0.500, 0.500, 0.500) x1

energy above the lowest structure with this stoichiometry	0.0043	eV per atom

---

Entry from the Alexandria database: crystalline InCu2Mo at its relaxed geometry (PBE-GGA).

Cell: 3.969 3.969 7.882 Å, 90.00 90.00 90.00°
Space group I-4m2 (No. 119)
Inequivalent atoms, fractional coordinates:
In (0.000, 0.000, 0.000) x2
Cu (0.000, 0.000, 0.500) x2
Cu (0.000, 0.500, 0.250) x2
Mo (0.000, 0.500, 0.750) x2

---

Entry from the Alexandria database: crystalline In2CuMo at its relaxed geometry (PBE-GGA).

Cell: 7.322 7.322 5.761 Å, 90.00 90.00 90.00°
Space group I-42d (No. 122)
Inequivalent atoms, fractional coordinates:
In (0.221, 0.250, 0.125) x8
Cu (0.000, 0.000, 0.000) x4
Mo (0.000, 0.000, 0.500) x4

energy above the lowest structure with this stoichiometry	0.3288	eV per atom

---

Entry from the Alexandria database: crystalline InCu2Mo at its relaxed geometry (PBE-GGA).

Cell: 6.264 6.264 6.264 Å, 90.00 90.00 90.00°
Space group Fm-3m (No. 225)
Inequivalent atoms, fractional coordinates:
In (0.000, 0.000, 0.000) x4
Cu (0.250, 0.250, 0.250) x8
Mo (0.000, 0.000, 0.500) x4

---

Number 1: energy of formation 0.704 eV/atom, M_tot 1.0 μB/f.u.. Number 2: energy of formation 0.261 eV/atom, M_tot 0.0 μB/f.u.. Number 3: energy of formation 0.355 eV/atom, M_tot 0.2 μB/f.u.. Number 4: energy of formation 0.263 eV/atom, M_tot 0.0 μB/f.u.. Number 5: energy of formation 0.265 eV/atom, M_tot 0.0 μB/f.u.. Number 6: energy of formation 0.423 eV/atom, M_tot 0.9 μB/f.u.. Number 7: energy of formation 0.590 eV/atom, M_tot 1.0 μB/f.u.. Number 8: energy of formation 0.358 eV/atom, M_tot 1.7 μB/f.u..